Record 1
CoTe2As | PBE | relaxed

Calculated values
Formation energy (no corrections): 0.14 eV/atom

Cell: 3.021 3.021 10.694 Å, 90.00 90.00 90.00°
Space group P4mm (No. 99)
Inequivalent atoms, fractional coordinates:
1 Co 0.000 0.000 0.000 x1
2 Te 0.000 0.000 0.513 x1
3 Te 0.500 0.500 0.157 x1
4 As 0.500 0.500 0.866 x1

***

Record 2
NdBeAu2 | PBE | relaxed

Calculated values
Formation energy from the elements: -0.4574 eV/atom

Cell: 4.2340 4.2340 15.8517 Å, 90.00 90.00 120.00°
Space group R-3m (No. 166, hexagonal axes)
Inequivalent atoms, fractional coordinates:
1 Nd 0.0000 0.0000 0.0000 x3
2 Be 0.0000 0.0000 0.5000 x3
3 Au 0.0000 0.0000 0.2128 x6

***

Record 3
ScTi2Pd8 | PBE | relaxed

Calculated values
Excess energy over the best structure of this formula in the dataset: 0.0000 eV per atom
Formation energy from the elements: -0.6529 eV/atom

Cell: 14.148 3.993 6.449 Å, 90.00 107.90 90.00°
Space group C2/m (No. 12)
Inequivalent atoms, fractional coordinates:
1 Sc 0.000 0.000 0.000 x2
2 Ti 0.221 0.500 0.664 x4
3 Pd 0.043 0.500 0.723 x4
4 Pd 0.104 0.000 0.461 x4
5 Pd 0.147 0.500 0.203 x4
6 Pd 0.181 0.000 0.916 x4

***

Record 4
CsMnSeCl6 | PBE | relaxed

Calculated values
Formation energy (no corrections): -0.96 eV/atom

Cell: 6.886 6.923 7.499 Å, 93.55 97.99 108.91°
Space group P1 (No. 1)
Inequivalent atoms, fractional coordinates:
1 Cs 0.000 0.000 0.000 x1
2 Mn 0.669 0.410 0.406 x1
3 Se 0.236 0.402 0.668 x1
4 Cl 0.227 0.598 0.918 x1
5 Cl 0.345 0.180 0.413 x1
6 Cl 0.632 0.582 0.670 x1
7 Cl 0.653 0.264 0.128 x1
8 Cl 0.874 0.210 0.589 x1
9 Cl 0.933 0.684 0.376 x1

***

Record 5
Dy6Hg4Pb7 | PBE | relaxed

Calculated values
Formation energy from the elements: -0.1304 eV/atom

Cell: 9.986 9.986 9.986 Å, 90.00 90.00 90.00°
Space group Im-3m (No. 229)
Inequivalent atoms, fractional coordinates:
1 Dy 0.000 0.000 0.296 x12
2 Hg 0.250 0.250 0.250 x8
3 Pb 0.000 0.000 0.000 x2
4 Pb 0.000 0.250 0.500 x12

***

Record 6
LiNbGe3 | PBE | relaxed

Calculated values
Excess energy over the best structure of this formula in the dataset: 0.0000 eV per atom
Formation energy from the elements: 0.2070 eV/atom

Cell: 5.038 5.038 5.038 Å, 90.00 90.00 90.00°
Space group Pm-3m (No. 221)
Inequivalent atoms, fractional coordinates:
1 Li 0.000 0.000 0.000 x1
2 Nb 0.500 0.500 0.500 x1
3 Ge 0.000 0.500 0.500 x3

***

Total magnetic moment / μB per atom: 0.000, 0.000, 0.000, 0.438, 0.000, 0.000